TcAsOs2 | GGA-PBE | relaxed

a b c (Å): 4.718 4.718 4.718
angles (deg): 131.17 131.17 71.54
Atoms (fractional coordinates):
Os  0.250  0.750  0.500
Os  0.000  0.000  0.000
Tc  0.500  0.500  0.000
As  0.750  0.250  0.500

space group	I-4m2 (119)
calculated formation energy	1.78	eV/f.u.
volume	58.2	Å³/cell
DFT total energy	-8.9241	eV per atom
crystal system	tetragonal